[1]
Computed, not measured: Li2LaHg4 after structural relaxation at the PBE-GGA level of DFT.

abc: 4.898 3.424 10.279
angles: 99.59 103.78 90.00
Fractional positions:
1 Hg 0.078 0.578 0.157
2 Hg 0.666 0.666 0.332
3 Hg 0.922 0.422 0.843
4 Hg 0.334 0.334 0.668
5 La 0.500 0.000 0.000
6 Li 0.804 0.804 0.608
7 Li 0.196 0.196 0.392

Values from the calculation:
* space group: Immm (71)
* energy relative to the elements: -0.343 eV per atom
* M_tot: 0.0 μB per cell

***

[2]
Computed, not measured: AcNi2Ir3 after structural relaxation at the PBE-GGA level of DFT.

abc: 4.094 5.371 5.371
angles: 120.00 90.00 90.00
Fractional positions:
1 Ir 0.500 0.001 0.500
2 Ir 0.500 0.501 0.000
3 Ir 0.500 0.501 0.500
4 Ni 0.000 0.335 0.667
5 Ni 0.000 0.668 0.333
6 Ac 0.000 0.001 0.000

Values from the calculation:
* space group: P6/mmm (191)
* energy relative to the elements: -0.375 eV per atom
* M_tot: 0.0 μB per cell

***

[3]
Computed, not measured: Pm3PN after structural relaxation at the PBE-GGA level of DFT.

abc: 6.899 8.902 8.902
angles: 84.84 81.94 81.94
Fractional positions:
1 Pm 0.384 0.563 0.709
2 Pm 0.616 0.437 0.291
3 Pm 0.864 0.387 0.865
4 Pm 0.364 0.865 0.387
5 Pm 0.116 0.291 0.437
6 Pm 0.133 0.961 0.786
7 Pm 0.636 0.135 0.613
8 Pm 0.867 0.039 0.214
9 Pm 0.136 0.613 0.135
10 Pm 0.633 0.786 0.961
11 Pm 0.884 0.709 0.563
12 Pm 0.367 0.214 0.039
13 P 0.750 0.085 0.915
14 P 0.750 0.734 0.266
15 P 0.250 0.266 0.734
16 P 0.250 0.915 0.085
17 N 0.692 0.607 0.771
18 N 0.808 0.229 0.393
19 N 0.308 0.393 0.229
20 N 0.192 0.771 0.607

Values from the calculation:
* excess energy over the best structure of this formula in the dataset: 0.0000 eV per atom
* space group: C2/c (15)
* ΔE_f (raw): -1.0456 eV per atom
* M_tot: 0.0 μB per cell

***

[4]
Computed, not measured: NaHoMg after structural relaxation at the PBE-GGA level of DFT.

abc: 3.403 3.403 8.842
angles: 90.00 90.00 120.00
Fractional positions:
1 Mg 0.667 0.333 0.342
2 Ho 0.333 0.667 0.647
3 Na 0.000 0.000 0.011

Values from the calculation:
* excess energy over the best structure of this formula in the dataset: 0.0287 eV per atom
* space group: P3m1 (156)
* energy relative to the elements: 0.139 eV per atom
* M_tot: 0.0 μB per cell

***

[5]
Computed, not measured: Co5Tc after structural relaxation at the PBE-GGA level of DFT.

abc: 4.380 4.380 4.047
angles: 90.00 90.00 120.00
Site moments in Bohr magnetons follow the coordinates.
Fractional positions:
1 Co 0.000 0.333 0.500  0.87
2 Co 0.676 0.343 0.000  1.14
3 Co 0.990 0.000 0.000  1.14
4 Co 0.667 0.667 0.500  0.87
5 Co 0.333 0.657 0.000  1.14
6 Tc 0.333 0.000 0.500  -0.34

Values from the calculation:
* excess energy over the best structure of this formula in the dataset: 0.0000 eV per atom
* space group: P-62m (189)
* energy relative to the elements: 0.056 eV per atom
* M_tot: 4.7 μB per cell

***

[6]
Computed, not measured: NdZnPtO4 after structural relaxation at the PBE-GGA level of DFT.

abc: 6.450 6.555 7.462
angles: 124.70 90.00 119.47
Site moments in Bohr magnetons follow the coordinates.
Fractional positions:
1 Nd 0.500 0.000 0.000  -0.01
2 Nd 0.500 0.000 0.500  -0.01
3 O 0.237 0.917 0.209  0.17
4 O 0.774 0.548 0.348  0.02
5 O 0.226 0.452 0.299  0.02
6 O 0.763 0.083 0.791  0.17
7 O 0.680 0.917 0.209  0.17
8 O 0.226 0.452 0.652  0.02
9 O 0.774 0.548 0.701  0.02
10 O 0.320 0.083 0.791  0.17
11 Pt 0.500 0.500 0.500  0.53
12 Pt 0.000 0.500 0.500  0.53
13 Zn 0.074 0.149 0.824  0.00
14 Zn 0.926 0.851 0.176  0.00

Values from the calculation:
* space group: Imma (74)
* ΔE_f (raw): -1.5367 eV per atom
* M_tot: 2.0 μB per cell

***

Q: Look up the M_tot of the third one.
A: 0.0 μB per cell